Record 1
LaSi2: relaxed, PBE-GGA.

a b c (Å): 3.690 5.759 7.267
angles (deg): 90.00 90.00 90.00
Fractional coordinates of all 6 atoms:
La (0.000, 0.000, 0.000)
La (0.500, 0.500, 0.500)
Si (0.747, 0.000, 0.397)
Si (0.253, 0.000, 0.603)
Si (0.247, 0.500, 0.103)
Si (0.753, 0.500, 0.897)

Calculated values
- Total energy: -5.352 eV per atom
- Total magnetic moment: 0.0 μB/cell

=====

Record 2
NaCoOs: relaxed, PBE-GGA.

a b c (Å): 7.219 3.910 6.729
angles (deg): 90.00 90.00 90.00
Fractional coordinates of all 12 atoms:
Co (0.791, 0.250, 0.331)
Co (0.709, 0.750, 0.831)
Co (0.209, 0.750, 0.669)
Co (0.291, 0.250, 0.169)
Os (0.107, 0.250, 0.460)
Os (0.393, 0.750, 0.960)
Os (0.893, 0.750, 0.540)
Os (0.607, 0.250, 0.040)
Na (0.006, 0.250, 0.871)
Na (0.494, 0.750, 0.371)
Na (0.994, 0.750, 0.129)
Na (0.506, 0.250, 0.629)

Calculated values
- Formation energy: 633 meV/atom
- Total energy: -5.919 eV per atom
- Total magnetic moment: 0.0 μB/cell

=====

Record 3
TaNi2Rh: relaxed, PBE-GGA.

a b c (Å): 8.743 8.743 8.743
angles (deg): 17.98 17.98 17.98
Fractional coordinates of all 4 atoms:
Ni (0.998, 0.998, 0.998)
Ni (0.502, 0.502, 0.502)
Rh (0.250, 0.250, 0.250)
Ta (0.750, 0.750, 0.750)

Calculated values
- Formation energy: 95 meV/atom
- Total energy: -7.597 eV per atom
- Total magnetic moment: 1.7 μB/cell

=====

Record 4
Ti2Al2Ru: relaxed, PBE-GGA.

a b c (Å): 6.655 6.655 3.528
angles (deg): 90.00 90.00 90.00
Fractional coordinates of all 10 atoms:
Ru (0.000, 0.000, 0.000)
Ru (0.500, 0.500, 0.000)
Al (0.364, 0.864, 0.000)
Al (0.864, 0.636, 0.000)
Al (0.636, 0.136, 0.000)
Al (0.136, 0.364, 0.000)
Ti (0.166, 0.666, 0.500)
Ti (0.666, 0.834, 0.500)
Ti (0.834, 0.334, 0.500)
Ti (0.334, 0.166, 0.500)

Calculated values
- Formation energy: -367 meV/atom
- Total energy: -6.877 eV per atom
- Total magnetic moment: 0.0 μB/cell

=====

Record 5
Al2GeAu: relaxed, PBE-GGA.

a b c (Å): 4.392 4.392 8.777
angles (deg): 75.51 75.51 90.00
Fractional coordinates of all 8 atoms:
Ge (0.500, 0.500, 0.000)
Ge (0.250, 0.750, 0.500)
Au (0.000, 0.000, 0.000)
Au (0.750, 0.250, 0.500)
Al (0.649, 0.125, 0.250)
Al (0.101, 0.625, 0.250)
Al (0.375, 0.351, 0.750)
Al (0.875, 0.899, 0.750)

Calculated values
- Formation energy: 6 meV/atom
- Total energy: -3.839 eV per atom
- Total magnetic moment: 0.0 μB/cell

=====

Record 6
NbTl2PtCl: relaxed, PBE-GGA.

a b c (Å): 5.584 4.584 5.584
angles (deg): 90.00 90.00 90.00
Fractional coordinates of all 5 atoms:
Tl (0.000, 0.000, 0.500)
Tl (0.500, 0.000, 0.000)
Nb (0.000, 0.000, 0.000)
Pt (0.500, 0.500, 0.500)
Cl (0.000, 0.500, 0.000)

Calculated values
- Total energy: -3.849 eV per atom
- Total magnetic moment: 1.1 μB/cell